Below is a relaxed AcSm2USe8 crystal, with properties calculated at the PBE level.

Structure (POSCAR):
```
AcSm2USe8
1.0
-3.817 -1.255 5.143
-0.214 -6.134 -1.808
7.289 -1.749 4.982
Sm Se Ac U
2 8 1 1
direct
0.501 0.502 0.239
0.499 0.498 0.761
0.878 0.254 0.779
0.122 0.746 0.221
0.125 0.748 0.780
0.648 0.766 0.999
0.875 0.252 0.220
0.445 0.228 0.500
0.352 0.234 0.001
0.555 0.772 0.500
0.000 0.000 0.500
0.000 0.000 0.000
```

Results
Total energy, eV per formula unit: -68.99
Theoretical density, g/cm³: 6.174
Uncorrected formation energy, eV/atom: -1.357
DOS at the Fermi energy, states/eV/cell: 1.8